# 1
An optimized crystal structure of LiCr5. Source: Alexandria via LeMat-Bulk, functional PBE-GGA.

## Properties
SG ... P-62m (189)
Total magnetization ... 0.00 μB per cell
ΔE_f ... 517 meV/atom
Total DFT energy (no corrections) ... -0.287 Ha/atom
Crystal system ... hexagonal
Distance to the lowest polymorph of the same formula ... 0.2122 eV/atom

Unit cell a=4.3189 b=4.3189 c=4.3893 alpha=90.00 beta=90.00 gamma=120.00
Last column: nearest neighbours and their distance in Å.
Element x y z (fractional)
Li: 0.0000 0.0000 0.0000  12 Cr 2.49-2.66
Cr: 0.0000 0.6534 0.5000  10 Cr 2.45-2.61, 2 Li 2.66
Cr: 0.3333 0.6667 0.0000  3 Li 2.49, 9 Cr 2.49-2.61
Cr: 0.3466 0.3466 0.5000  10 Cr 2.45-2.61, 2 Li 2.66
Cr: 0.6534 0.0000 0.5000  10 Cr 2.45-2.61, 2 Li 2.66
Cr: 0.6667 0.3333 0.0000  3 Li 2.49, 9 Cr 2.49-2.61



# 2
An optimized crystal structure of LiCr. Source: Alexandria via LeMat-Bulk, functional PBE-GGA.

## Properties
SG ... P4_2/mnm (136)
Total magnetization ... 0.00 μB per cell
ΔE_f ... 1039 meV/atom
Total DFT energy (no corrections) ... -0.174 Ha/atom
Crystal system ... tetragonal
Distance to the lowest polymorph of the same formula ... 0.7590 eV/atom

Unit cell a=4.7836 b=4.7836 c=5.0327 alpha=90.00 beta=90.00 gamma=90.00
Last column: nearest neighbours and their distance in Å.
Element x y z (fractional)
Li: 0.1615 0.1615 0.0000  1 Li 2.18
Li: 0.3385 0.6615 0.5000  1 Li 2.18
Li: 0.6615 0.3385 0.5000  1 Li 2.18
Li: 0.8385 0.8385 0.0000  1 Li 2.18
Cr: 0.1362 0.1362 0.5000  1 Cr 1.84
Cr: 0.3638 0.6362 0.0000  1 Cr 1.84
Cr: 0.6362 0.3638 0.0000  1 Cr 1.84
Cr: 0.8638 0.8638 0.5000  1 Cr 1.84



# 3
An optimized crystal structure of LiCr. Source: Alexandria via LeMat-Bulk, functional PBE-GGA.

## Properties
SG ... P6_3/mmc (194)
Total magnetization ... 0.00 μB per cell
ΔE_f ... 839 meV/atom
Total DFT energy (no corrections) ... -0.181 Ha/atom
Crystal system ... hexagonal
Distance to the lowest polymorph of the same formula ... 0.5586 eV/atom

Unit cell a=3.7474 b=3.7474 c=8.4179 alpha=90.00 beta=90.00 gamma=120.00
Last column: nearest neighbours and their distance in Å.
Element x y z (fractional)
Li: 0.0000 0.0000 0.2500  3 Li 2.16
Li: 0.0000 0.0000 0.7500  3 Li 2.16
Li: 0.3333 0.6667 0.2500  3 Li 2.16
Li: 0.6667 0.3333 0.7500  3 Li 2.16
Cr: 0.3333 0.6667 0.5476  3 Cr 2.31, 1 Li 2.51
Cr: 0.3333 0.6667 0.9524  3 Cr 2.31, 1 Li 2.51
Cr: 0.6667 0.3333 0.0476  3 Cr 2.31, 1 Li 2.51
Cr: 0.6667 0.3333 0.4524  3 Cr 2.31, 1 Li 2.51



# 4
An optimized crystal structure of LiCr. Source: Alexandria via LeMat-Bulk, functional PBE-GGA.

## Properties
SG ... P6_3/mmc (194)
Total magnetization ... 0.35 μB per cell
ΔE_f ... 613 meV/atom
Total DFT energy (no corrections) ... -0.189 Ha/atom
Crystal system ... hexagonal
Distance to the lowest polymorph of the same formula ... 0.3329 eV/atom

Unit cell a=4.3024 b=4.3024 c=8.3947 alpha=90.00 beta=90.00 gamma=120.00
Last column: nearest neighbours and their distance in Å.
Element x y z (fractional)
Li: 0.3333 0.6667 0.0758  7 Cr 2.73-2.88, 4 Li 2.79-2.92
Li: 0.3333 0.6667 0.4242  7 Cr 2.73-2.88, 4 Li 2.79-2.92
Li: 0.6667 0.3333 0.5758  7 Cr 2.73-2.88, 4 Li 2.79-2.92
Li: 0.6667 0.3333 0.9242  7 Cr 2.73-2.88, 4 Li 2.79-2.92
Cr: 0.0000 0.0000 0.2500  3 Cr 2.48
Cr: 0.0000 0.0000 0.7500  3 Cr 2.48
Cr: 0.3333 0.6667 0.7500  3 Cr 2.48, 2 Li 2.73
Cr: 0.6667 0.3333 0.2500  3 Cr 2.48, 2 Li 2.73



# 5
An optimized crystal structure of LiCr5. Source: Alexandria via LeMat-Bulk, functional PBE-GGA.

## Properties
SG ... Amm2 (38)
Total magnetization ... 0.00 μB per cell
ΔE_f ... 404 meV/atom
Total DFT energy (no corrections) ... -0.292 Ha/atom
Crystal system ... orthorhombic
Distance to the lowest polymorph of the same formula ... 0.0986 eV/atom

Unit cell a=4.1914 b=7.4171 c=7.4171 alpha=17.84 beta=90.00 gamma=90.00
Last column: nearest neighbours and their distance in Å.
Element x y z (fractional)
Li: 0.0000 0.0000 0.0000  2 Li 2.30, 2 Cr 2.49
Cr: 0.0000 0.3358 0.3358  4 Cr 2.30-2.47
Cr: 0.0000 0.6668 0.6668  4 Cr 2.30-2.48
Cr: 0.5000 0.0917 0.0917  2 Cr 2.30, 2 Li 2.49
Cr: 0.5000 0.4247 0.4247  4 Cr 2.30-2.47
Cr: 0.5000 0.7579 0.7579  4 Cr 2.30-2.48



# 6
An optimized crystal structure of LiCr. Source: Alexandria via LeMat-Bulk, functional PBE-GGA.

## Properties
SG ... C2/m (12)
Total magnetization ... 0.00 μB per cell
ΔE_f ... 508 meV/atom
Total DFT energy (no corrections) ... -0.193 Ha/atom
Crystal system ... monoclinic
Distance to the lowest polymorph of the same formula ... 0.2275 eV/atom

Unit cell a=4.6214 b=4.6214 c=5.1292 alpha=112.19 beta=112.19 gamma=29.55
Last column: nearest neighbours and their distance in Å.
Element x y z (fractional)
Li: 0.1229 0.1229 0.4833  5 Li 2.27-2.51
Li: 0.8771 0.8771 0.5167  5 Li 2.27-2.51
Cr: 0.3775 0.3775 0.0103  3 Cr 2.23-2.36
Cr: 0.6225 0.6225 0.9897  3 Cr 2.23-2.36



# 7
An optimized crystal structure of LiCr. Source: Alexandria via LeMat-Bulk, functional PBE-GGA.

## Properties
SG ... Fddd (70)
Total magnetization ... 0.19 μB per cell
ΔE_f ... 861 meV/atom
Total DFT energy (no corrections) ... -0.180 Ha/atom
Crystal system ... orthorhombic
Distance to the lowest polymorph of the same formula ... 0.5813 eV/atom

Unit cell a=6.0422 b=5.8490 c=4.9876 alpha=67.23 beta=63.20 gamma=49.57
Last column: nearest neighbours and their distance in Å.
Element x y z (fractional)
Li: 0.0381 0.7119 0.0381  1 Li 2.40, 4 Cr 2.60-2.64
Li: 0.2881 0.9619 0.2881  1 Li 2.40, 4 Cr 2.60-2.64
Li: 0.7119 0.0381 0.7119  1 Li 2.40, 4 Cr 2.60-2.64
Li: 0.9619 0.2881 0.9619  1 Li 2.40, 4 Cr 2.60-2.64
Cr: 0.2422 0.5078 0.5078  1 Cr 1.78
Cr: 0.4922 0.7578 0.7578  1 Cr 1.78
Cr: 0.5078 0.2422 0.2422  1 Cr 1.78
Cr: 0.7578 0.4922 0.4922  1 Cr 1.78



# 8
An optimized crystal structure of LiCr3. Source: Alexandria via LeMat-Bulk, functional PBE-GGA.

## Properties
SG ... Pmmm (47)
Total magnetization ... 0.00 μB per cell
ΔE_f ... 439 meV/atom
Total DFT energy (no corrections) ... -0.267 Ha/atom
Crystal system ... orthorhombic

Unit cell a=2.2799 b=4.1811 c=4.9581 alpha=90.00 beta=90.00 gamma=90.00
Last column: nearest neighbours and their distance in Å.
Element x y z (fractional)
Li: 0.0000 0.0000 0.0000  2 Li 2.28, 2 Cr 2.48
Cr: 0.0000 0.0000 0.5000  2 Cr 2.28, 2 Li 2.48
Cr: 0.5000 0.5000 0.2565  4 Cr 2.28-2.54
Cr: 0.5000 0.5000 0.7435  4 Cr 2.28-2.54



# 9
An optimized crystal structure of Li8Cr. Source: Alexandria via LeMat-Bulk, functional PBE-GGA.

## Properties
SG ... I4/mmm (139)
Total magnetization ... 4.92 μB per cell
ΔE_f ... 164 meV/atom
Total DFT energy (no corrections) ... -0.096 Ha/atom
Crystal system ... tetragonal

Unit cell a=6.6793 b=6.6793 c=6.6793 alpha=95.91 beta=95.91 gamma=142.56
Last column: nearest neighbours and their distance in Å.
Element x y z (fractional)
Li: 0.0000 0.3301 0.3301  1 Cr 2.95, 11 Li 2.99-3.04
Li: 0.0000 0.6699 0.6699  1 Cr 2.95, 11 Li 2.99-3.04
Li: 0.3301 0.0000 0.3301  1 Cr 2.95, 11 Li 2.99-3.04
Li: 0.3364 0.3364 0.6728  10 Li 2.93-3.06, 2 Cr 2.98
Li: 0.3364 0.6636 0.0000  10 Li 2.93-3.06, 2 Cr 2.98
Li: 0.6636 0.3364 0.0000  10 Li 2.93-3.06, 2 Cr 2.98
Li: 0.6636 0.6636 0.3272  10 Li 2.93-3.06, 2 Cr 2.98
Li: 0.6699 0.0000 0.6699  1 Cr 2.95, 11 Li 2.99-3.04
Cr: 0.0000 0.0000 0.0000  12 Li 2.95-2.98



# 10
An optimized crystal structure of LiCr. Source: Alexandria via LeMat-Bulk, functional PBE-GGA.

## Properties
SG ... Pmmn (59)
Total magnetization ... 0.00 μB per cell
ΔE_f ... 451 meV/atom
Total DFT energy (no corrections) ... -0.195 Ha/atom
Crystal system ... orthorhombic
Distance to the lowest polymorph of the same formula ... 0.1707 eV/atom

Unit cell a=2.2420 b=4.1923 c=5.4669 alpha=90.00 beta=90.00 gamma=90.00
Last column: nearest neighbours and their distance in Å.
Element x y z (fractional)
Li: 0.2500 0.2500 0.1109  2 Li 2.24
Li: 0.7500 0.7500 0.8891  2 Li 2.24
Cr: 0.2500 0.7500 0.4115  2 Cr 2.24
Cr: 0.7500 0.2500 0.5885  2 Cr 2.24



# 11
An optimized crystal structure of LiCr. Source: Alexandria via LeMat-Bulk, functional PBE-GGA.

## Properties
SG ... P4/nmm (129)
Total magnetization ... 4.30 μB per cell
ΔE_f ... 513 meV/atom
Total DFT energy (no corrections) ... -0.193 Ha/atom
Crystal system ... tetragonal
Distance to the lowest polymorph of the same formula ... 0.2328 eV/atom

Unit cell a=2.6821 b=2.6821 c=8.3340 alpha=90.00 beta=90.00 gamma=90.00
Last column: nearest neighbours and their distance in Å.
Element x y z (fractional)
Li: 0.2500 0.2500 0.1442  4 Li 2.68, 4 Cr 2.87
Li: 0.7500 0.7500 0.8558  4 Li 2.68, 4 Cr 2.87
Cr: 0.2500 0.2500 0.5967  8 Cr 2.49-2.68
Cr: 0.7500 0.7500 0.4033  8 Cr 2.49-2.68



# 12
An optimized crystal structure of Li2Cr. Source: Alexandria via LeMat-Bulk, functional PBE-GGA.

## Properties
SG ... I4/mmm (139)
Total magnetization ... 0.00 μB per cell
ΔE_f ... 430 meV/atom
Total DFT energy (no corrections) ... -0.149 Ha/atom
Crystal system ... tetragonal

Unit cell a=7.3205 b=7.3205 c=7.3205 alpha=161.34 beta=161.34 gamma=26.51
Last column: nearest neighbours and their distance in Å.
Element x y z (fractional)
Li: 0.1598 0.1598 0.0000  4 Li 2.37
Li: 0.8402 0.8402 0.0000  4 Li 2.37
Cr: 0.5000 0.5000 0.0000  4 Cr 2.37



# 13
An optimized crystal structure of LiCr5. Source: Alexandria via LeMat-Bulk, functional PBE-GGA.

## Properties
SG ... P4/mmm (123)
Total magnetization ... 0.00 μB per cell
ΔE_f ... 343 meV/atom
Total DFT energy (no corrections) ... -0.294 Ha/atom
Crystal system ... tetragonal
Distance to the lowest polymorph of the same formula ... 0.0380 eV/atom

Unit cell a=2.3443 b=2.3443 c=13.1682 alpha=90.00 beta=90.00 gamma=90.00
Last column: nearest neighbours and their distance in Å.
Element x y z (fractional)
Li: 0.0000 0.0000 0.0000  4 Li 2.34
Cr: 0.0000 0.0000 0.3383  4 Cr 2.34
Cr: 0.0000 0.0000 0.6617  4 Cr 2.34
Cr: 0.5000 0.5000 0.1759  4 Cr 2.34
Cr: 0.5000 0.5000 0.5000  4 Cr 2.34
Cr: 0.5000 0.5000 0.8241  4 Cr 2.34